Entry 1:
VASP calculation (PBE) on a relaxed structure of Ru2RhW2.

Summary:
- ΔH_f (0 K) (meV per atom) = 296.5
- DFT total energy (eV per atom) = -10.0654

The structure in CIF format:
```
data_Ru2RhW2
_space_group_name_H-M_alt 'P 1'
_space_group_IT_number 1
_cell_length_a 4.803
_cell_length_b 4.818
_cell_length_c 4.360
_cell_angle_alpha 63.10
_cell_angle_beta 63.01
_cell_angle_gamma 68.38
loop_
_space_group_symop_operation_xyz
'x,y,z'
loop_
_atom_site_label
_atom_site_fract_x
_atom_site_fract_y
_atom_site_fract_z
Ru1 0.281 0.221 0.499
Ru2 0.719 0.779 0.501
Rh1 0.000 0.500 0.000
W1 0.693 0.191 0.808
W2 0.307 0.809 0.192
```



Entry 2:
VASP calculation (PBE) on a relaxed structure of Y2TeBr.

Summary:
- energy relative to the elements, uncorrected (eV per atom) = -0.93
- DFT total energy (eV per atom) = -5.3608

The structure in CIF format:
```
data_Y2TeBr
_space_group_name_H-M_alt 'P 1'
_space_group_IT_number 1
_cell_length_a 5.889
_cell_length_b 5.889
_cell_length_c 5.889
_cell_angle_alpha 140.53
_cell_angle_beta 113.33
_cell_angle_gamma 80.33
loop_
_space_group_symop_operation_xyz
'x,y,z'
loop_
_atom_site_label
_atom_site_fract_x
_atom_site_fract_y
_atom_site_fract_z
Y1 0.990 0.990 0.000
Y2 0.510 0.510 0.000
Te1 0.250 0.750 0.500
Br1 0.750 0.250 0.500
```